Record 1
{
  "formula": "F",
  "functional": "GGA-PBEsol",
  "state": "relaxed",
  "lattice_angstrom": [[5.5432, 0.0000, 0.0000], [0.0000, 3.2508, 0.0000], [-1.4811, 0.0000, 5.7040]],
  "species": ["F", "F", "F", "F", "F", "F", "F", "F"],
  "frac_coords": [[0.2411, 0.0268, 0.2126], [0.2411, 0.9732, 0.7126], [0.2589, 0.4732, 0.7874], [0.2589, 0.5268, 0.2874], [0.7411, 0.4732, 0.7126], [0.7411, 0.5268, 0.2126], [0.7589, 0.0268, 0.2874], [0.7589, 0.9732, 0.7874]],
  "spacegroup": "No. 15"
}

Record 2
{
  "formula": "F",
  "functional": "GGA-PBEsol",
  "state": "relaxed",
  "lattice_angstrom": [[2.8042, 0.0000, 0.0000], [-0.0832, 3.2557, 0.0000], [-0.2543, -0.2031, 5.5260]],
  "species": ["F", "F", "F", "F"],
  "frac_coords": [[0.2472, 0.4139, 0.1930], [0.2524, 0.9256, 0.6931], [0.7476, 0.0744, 0.3069], [0.7528, 0.5861, 0.8070]],
  "spacegroup": "No. 2"
}

no.,electronic total energy (eV/atom),ρ (g/cm³)
1,-1.73,2.455
2,-1.46,2.501